No. 1
# Ti4HC2N PBE optimized geometry
data_Ti4HC2N
_chemical_formula_sum 'Ti4 H1 C2 N1'
_cell_length_a 5.2142
_cell_length_b 3.0555
_cell_length_c 5.2757
_cell_angle_alpha 90.00
_cell_angle_beta 109.12
_cell_angle_gamma 90.00
_symmetry_space_group_name_H-M 'P 1 2/m 1'
_symmetry_Int_Tables_number 10
loop_
_symmetry_equiv_pos_as_xyz
'x,y,z'
'-x,-y,-z'
'-x,y,-z'
'x,-y,z'
loop_
_atom_site_label
_atom_site_fract_x
_atom_site_fract_y
_atom_site_fract_z
_atom_site_occupancy
Ti1 0.2392 0.0000 0.2344 1
Ti2 0.2417 0.5000 0.7549 1
H1 0.5000 0.5000 0.5000 1
C1 0.0000 0.0000 0.5000 1
C2 0.0000 0.5000 0.0000 1
N1 0.5000 0.0000 0.0000 1
# Total DFT energy (no corrections) (eV per formula unit): -69.96

***

No. 2
# NaCa2Sm PBE optimized geometry
data_NaCa2Sm
_chemical_formula_sum 'Na3 Ca6 Sm3'
_cell_length_a 3.7885
_cell_length_b 3.7885
_cell_length_c 36.9981
_cell_angle_alpha 90.00
_cell_angle_beta 90.00
_cell_angle_gamma 120.00
_symmetry_space_group_name_H-M 'R 3 m'
_symmetry_Int_Tables_number 160
_symmetry_space_group_name_Hall 'R 3 -2"'
loop_
_atom_site_label
_atom_site_fract_x
_atom_site_fract_y
_atom_site_fract_z
_atom_site_occupancy
Na1 0.0000 0.0000 0.0000 1
Ca1 0.0000 0.0000 0.4190 1
Ca2 0.0000 0.0000 0.5811 1
Sm1 0.0000 0.0000 0.8335 1
# Energy relative to the elements (eV/f.u.): 0.346
# Energy above the lowest structure with this stoichiometry (eV/atom): 0.0007

***

No. 3
# Li3Mg3Rh2 PBE optimized geometry
data_Li3Mg3Rh2
_chemical_formula_sum 'Li3 Mg3 Rh2'
_cell_length_a 7.1977
_cell_length_b 7.1977
_cell_length_c 3.1155
_cell_angle_alpha 90.00
_cell_angle_beta 90.00
_cell_angle_gamma 120.00
_symmetry_space_group_name_H-M 'P -6 2 m'
_symmetry_Int_Tables_number 189
_symmetry_space_group_name_Hall 'P -6 -2'
loop_
_atom_site_label
_atom_site_fract_x
_atom_site_fract_y
_atom_site_fract_z
_atom_site_occupancy
Li1 0.0000 0.7508 0.0000 1
Mg1 0.0000 0.4173 0.5000 1
Rh1 0.3333 0.6667 0.0000 1
# Energy relative to the elements (eV/f.u.): -2.312

***

No. 4
# BaAlGe2S6 PBE optimized geometry
data_BaAlGe2S6
_chemical_formula_sum 'Ba4 Al4 Ge8 S24'
_cell_length_a 12.2677
_cell_length_b 13.5168
_cell_length_c 7.2599
_cell_angle_alpha 90.00
_cell_angle_beta 113.64
_cell_angle_gamma 90.00
_symmetry_space_group_name_H-M 'C 1 2/c 1'
_symmetry_Int_Tables_number 15
loop_
_symmetry_equiv_pos_as_xyz
'x,y,z'
'-x,-y,-z'
'-x,y,-z+1/2'
'x,-y,z+1/2'
'x+1/2,y+1/2,z'
'-x+1/2,-y+1/2,-z'
'-x+1/2,y+1/2,-z+1/2'
'x+1/2,-y+1/2,z+1/2'
loop_
_atom_site_label
_atom_site_fract_x
_atom_site_fract_y
_atom_site_fract_z
_atom_site_occupancy
Ba1 0.0000 0.1602 0.2500 1
Al1 0.0000 0.3070 0.7500 1
Ge1 0.2372 0.0896 0.8486 1
S1 0.0675 0.3828 0.0544 1
S2 0.1525 0.2367 0.6968 1
S3 0.1642 0.0180 0.0722 1
# ΔE_f (raw) (eV/atom): -0.82

***

No. 5
# NbOs2C PBE optimized geometry
data_NbOs2C
_chemical_formula_sum 'Nb4 Os8 C4'
_cell_length_a 6.6786
_cell_length_b 6.6786
_cell_length_c 4.9627
_cell_angle_alpha 90.00
_cell_angle_beta 90.00
_cell_angle_gamma 90.00
_symmetry_space_group_name_H-M 'I -4 2 d'
_symmetry_Int_Tables_number 122
_symmetry_space_group_name_Hall 'I -4 2bw'
loop_
_atom_site_label
_atom_site_fract_x
_atom_site_fract_y
_atom_site_fract_z
_atom_site_occupancy
Nb1 0.0000 0.0000 0.0000 1
Os1 0.1459 0.7500 0.6250 1
C1 0.0000 0.0000 0.5000 1
# Energy relative to the elements (eV/f.u.): 1.096

***

No. 6
# BaPPtS2 PBE optimized geometry
data_BaPPtS2
_chemical_formula_sum 'Ba1 P1 Pt1 S2'
_cell_length_a 5.2096
_cell_length_b 5.2096
_cell_length_c 4.4205
_cell_angle_alpha 90.00
_cell_angle_beta 90.00
_cell_angle_gamma 90.00
_symmetry_space_group_name_H-M 'P 4/m m m'
_symmetry_Int_Tables_number 123
_symmetry_space_group_name_Hall '-P 4 2'
loop_
_atom_site_label
_atom_site_fract_x
_atom_site_fract_y
_atom_site_fract_z
_atom_site_occupancy
Ba1 0.0000 0.0000 0.0000 1
P1 0.5000 0.5000 0.0000 1
Pt1 0.5000 0.5000 0.5000 1
S1 0.0000 0.5000 0.5000 1
# ΔE_f (raw) (eV/atom): -0.58
# Energy above the lowest structure with this stoichiometry (eV/atom): 0.0000

***

No. 7
# TbNd6Pb PBE optimized geometry
data_TbNd6Pb
_chemical_formula_sum 'Tb1 Nd6 Pb1'
_cell_length_a 5.0300
_cell_length_b 5.0300
_cell_length_c 10.4230
_cell_angle_alpha 90.00
_cell_angle_beta 90.00
_cell_angle_gamma 90.00
_symmetry_space_group_name_H-M 'P 4/m m m'
_symmetry_Int_Tables_number 123
_symmetry_space_group_name_Hall '-P 4 2'
loop_
_atom_site_label
_atom_site_fract_x
_atom_site_fract_y
_atom_site_fract_z
_atom_site_occupancy
Tb1 0.0000 0.0000 0.0000 1
Nd1 0.0000 0.5000 0.2560 1
Nd2 0.5000 0.5000 0.0000 1
Nd3 0.5000 0.5000 0.5000 1
Pb1 0.0000 0.0000 0.5000 1
# Energy relative to the elements (eV/f.u.): -1.161

***

No. 8
# MgSc PBE optimized geometry
data_MgSc
_chemical_formula_sum 'Mg1 Sc1'
_cell_length_a 3.5952
_cell_length_b 3.5952
_cell_length_c 3.5952
_cell_angle_alpha 90.00
_cell_angle_beta 90.00
_cell_angle_gamma 90.00
_symmetry_space_group_name_H-M 'P m -3 m'
_symmetry_Int_Tables_number 221
_symmetry_space_group_name_Hall '-P 4 2 3'
loop_
_atom_site_label
_atom_site_fract_x
_atom_site_fract_y
_atom_site_fract_z
_atom_site_occupancy
Mg1 0.0000 0.0000 0.0000 1
Sc1 0.5000 0.5000 0.5000 1
# Energy relative to the elements (eV/f.u.): -0.083

***

No. 9
# LiZn3F PBE optimized geometry
data_LiZn3F
_chemical_formula_sum 'Li1 Zn3 F1'
_cell_length_a 4.6420
_cell_length_b 4.6420
_cell_length_c 4.6420
_cell_angle_alpha 90.00
_cell_angle_beta 90.00
_cell_angle_gamma 90.00
_symmetry_space_group_name_H-M 'P m -3 m'
_symmetry_Int_Tables_number 221
_symmetry_space_group_name_Hall '-P 4 2 3'
loop_
_atom_site_label
_atom_site_fract_x
_atom_site_fract_y
_atom_site_fract_z
_atom_site_occupancy
Li1 0.0000 0.0000 0.0000 1
Zn1 0.0000 0.0000 0.5000 1
F1 0.5000 0.5000 0.5000 1
# ΔE_f (raw) (eV/atom): -0.01
# Energy above the lowest structure with this stoichiometry (eV/atom): 0.1941

***

No. 10
# Al2CrN3 PBE optimized geometry
data_Al2CrN3
_chemical_formula_sum 'Al8 Cr4 N12'
_cell_length_a 9.4606
_cell_length_b 5.5507
_cell_length_c 5.0280
_cell_angle_alpha 90.00
_cell_angle_beta 90.00
_cell_angle_gamma 90.00
_symmetry_space_group_name_H-M 'C m c 21'
_symmetry_Int_Tables_number 36
loop_
_symmetry_equiv_pos_as_xyz
'x,y,z'
'-x,-y,z+1/2'
'-x,y,z'
'x,-y,z+1/2'
'x+1/2,y+1/2,z'
'-x+1/2,-y+1/2,z+1/2'
'-x+1/2,y+1/2,z'
'x+1/2,-y+1/2,z+1/2'
loop_
_atom_site_label
_atom_site_fract_x
_atom_site_fract_y
_atom_site_fract_z
_atom_site_occupancy
Al1 0.1696 0.1620 0.0000 1
Cr1 0.0000 0.3448 0.5029 1
N1 0.0000 0.3196 0.1161 1
N2 0.1717 0.1601 0.6224 1
# ΔE_f (raw) (eV/atom): -0.89

***

No. 11
# Sm12Pd6Pt PBE optimized geometry
data_Sm12Pd6Pt
_chemical_formula_sum 'Sm36 Pd18 Pt3'
_cell_length_a 12.8309
_cell_length_b 12.8309
_cell_length_c 12.0384
_cell_angle_alpha 90.00
_cell_angle_beta 90.00
_cell_angle_gamma 120.00
_symmetry_space_group_name_H-M 'R -3'
_symmetry_Int_Tables_number 148
_symmetry_space_group_name_Hall '-R 3'
loop_
_atom_site_label
_atom_site_fract_x
_atom_site_fract_y
_atom_site_fract_z
_atom_site_occupancy
Sm1 0.0260 0.2115 0.3914 1
Sm2 0.0391 0.2060 0.8828 1
Pd1 0.0429 0.2639 0.6463 1
Pt1 0.0000 0.0000 0.0000 1
# Energy relative to the elements (eV/f.u.): -10.057

***

No. 12
# MgFe3B PBE optimized geometry
data_MgFe3B
_chemical_formula_sum 'Mg1 Fe3 B1'
_cell_length_a 4.3609
_cell_length_b 4.3609
_cell_length_c 4.3609
_cell_angle_alpha 90.00
_cell_angle_beta 90.00
_cell_angle_gamma 90.00
_symmetry_space_group_name_H-M 'P m -3 m'
_symmetry_Int_Tables_number 221
_symmetry_space_group_name_Hall '-P 4 2 3'
loop_
_atom_site_label
_atom_site_fract_x
_atom_site_fract_y
_atom_site_fract_z
_atom_site_occupancy
Mg1 0.0000 0.0000 0.0000 1
Fe1 0.0000 0.0000 0.5000 1
B1 0.5000 0.5000 0.5000 1
# Energy relative to the elements (eV/f.u.): 11.448
# Energy above the lowest structure with this stoichiometry (eV/atom): 2.2653